Entry 1:
Ga3PdAu | PBE | relaxed

a b c (Å): 4.0203 7.1539 7.1544
angles (deg): 65.66 106.03 106.03
Last column: nearest neighbours and their distance in Å.
Sites, in units of the cell vectors:
Ga: 0.6181 0.3283 0.7672  2 Pd 2.63-2.64, 2 Au 2.77, 1 Ga 2.81
Ga: 0.8667 0.5761 0.0150  2 Pd 2.63-2.65, 2 Au 2.77, 1 Ga 2.81
Ga: 0.3934 0.3133 0.3348  3 Pd 2.65-2.72, 2 Au 2.65-2.66
Ga: 0.3934 0.8959 0.7523  3 Pd 2.65-2.72, 2 Au 2.65-2.66
Ga: 0.0912 0.0085 0.0300  3 Pd 2.65-2.72, 2 Au 2.65-2.66
Ga: 0.0912 0.5911 0.4473  3 Pd 2.65-2.72, 2 Au 2.65-2.66
Pd: 0.9676 0.1781 0.6170  8 Ga 2.63-2.72
Pd: 0.5172 0.7263 0.1652  8 Ga 2.63-2.72
Au: 0.7423 0.7592 0.5841  6 Ga 2.65-2.77
Au: 0.7423 0.1452 0.1981  6 Ga 2.65-2.77

Calculated values
As for the space-group type: C2/m, No. 12. The value obtained for the energy relative to the lowest polymorph listed for this composition is 0.000 eV/atom. The formation energy from the elements is -33.9 kJ/mol of atoms. The magnetization is 0.0 Bohr magnetons per cell.

***

Entry 2:
BeSiAg2Pt | PBE | relaxed

a b c (Å): 4.4206 4.1017 4.4206
angles (deg): 90.00 90.00 90.00
Last column: nearest neighbours and their distance in Å.
Sites, in units of the cell vectors:
Be: 0.0000 0.0000 0.0000  2 Si 2.05, 4 Ag 2.21
Si: 0.0000 0.5000 0.0000  2 Be 2.05
Ag: 0.0000 0.0000 0.5000  2 Be 2.21
Ag: 0.5000 0.0000 0.0000  2 Be 2.21
Pt: 0.5000 0.5000 0.5000  8 Ag 3.02, 4 Si 3.13

Calculated values
As for the space-group type: P4/mmm, No. 123. For the energy relative to the elements, uncorrected, the calculation gives 0.467 eV per atom. The magnetization is 0.0 Bohr magnetons per cell.

***

Entry 3:
TbLuPb2 | PBE | relaxed

a b c (Å): 4.3870 5.0460 5.0460
angles (deg): 90.00 90.00 90.00
Last column: nearest neighbours and their distance in Å.
Sites, in units of the cell vectors:
Pb: 0.0000 0.0000 0.5000  4 Tb 3.34, 4 Lu 3.34, 4 Pb 3.57
Pb: 0.0000 0.5000 0.0000  4 Tb 3.34, 4 Lu 3.34, 4 Pb 3.57
Lu: 0.5000 0.0000 0.0000  8 Pb 3.34, 4 Tb 3.57
Tb: 0.5000 0.5000 0.5000  8 Pb 3.34, 4 Lu 3.57

Calculated values
As for the space-group type: P4/mmm, No. 123. The formation energy from the elements is -37.1 kJ/mol of atoms. The magnetization is 0.0 Bohr magnetons per cell.

***

Entry 4:
DyHfZn | PBE | relaxed

a b c (Å): 3.3933 4.8297 4.8297
angles (deg): 120.00 90.00 90.00
Last column: nearest neighbours and their distance in Å.
Sites, in units of the cell vectors:
Zn: 0.1629 0.3333 0.6667  3 Hf 2.79
Hf: 0.1692 0.0000 0.0000  3 Zn 2.79
Dy: 0.6679 0.6667 0.3333  6 Zn 3.26-3.27, 6 Hf 3.26-3.27, 2 Dy 3.39

Calculated values
As for the space-group type: P3m1, No. 156. The value obtained for the energy relative to the lowest polymorph listed for this composition is 0.189 eV/atom. The formation energy from the elements is 6.7 kJ/mol of atoms. The magnetization is 0.0 Bohr magnetons per cell.

***

Entry 5:
BaCuPPd | PBE | relaxed

a b c (Å): 4.2852 4.5094 5.7321
angles (deg): 113.16 111.95 90.00
Last column: nearest neighbours and their distance in Å.
Sites, in units of the cell vectors:
Ba: 0.9663 0.9663 0.9327  4 P 3.22-3.30, 5 Cu 3.23-3.49, 5 Pd 3.23-3.49
Cu: 0.6307 0.6307 0.2614  2 P 2.30
P: 0.2162 0.7162 0.4324  2 Cu 2.30, 2 Pd 2.40
Pd: 0.3021 0.3021 0.6042  2 P 2.40

Calculated values
As for the space-group type: Imm2, No. 44. The formation energy from the elements is -55.4 kJ/mol of atoms. The magnetization is 0.0 Bohr magnetons per cell.

***

Entry 6:
BeTe2Se | PBE | relaxed

a b c (Å): 5.1162 5.1162 3.3829
angles (deg): 90.00 90.00 90.00
Last column: nearest neighbours and their distance in Å.
Sites, in units of the cell vectors:
Be: 0.5000 0.0000 0.5000  8 Te 3.07, 2 Be 3.38
Te: 0.0000 0.0000 0.0000  4 Be 3.07, 4 Se 3.07, 2 Te 3.38
Te: 0.5000 0.5000 0.0000  4 Se 3.07, 4 Be 3.07, 2 Te 3.38
Se: 0.0000 0.5000 0.5000  8 Te 3.07, 2 Se 3.38

Calculated values
As for the space-group type: P4/mmm, No. 123. The value obtained for the energy relative to the lowest polymorph listed for this composition is 0.624 eV/atom. For the energy relative to the elements, uncorrected, the calculation gives 0.621 eV per atom. The magnetization is 0.0 Bohr magnetons per cell.

***

Entry 7:
Ca2Nd | PBE | relaxed

a b c (Å): 3.7515 3.7515 8.7327
angles (deg): 102.40 102.40 90.00
Last column: nearest neighbours and their distance in Å.
Sites, in units of the cell vectors:
Ca: 0.6615 0.6615 0.3231  8 Ca 3.75-3.96, 4 Nd 3.78
Ca: 0.3385 0.3385 0.6769  8 Ca 3.75-3.96, 4 Nd 3.78
Nd: 0.0000 0.0000 0.0000  4 Nd 3.75, 8 Ca 3.78

Calculated values
As for the space-group type: I4/mmm, No. 139. The value obtained for the energy relative to the lowest polymorph listed for this composition is 0.000 eV/atom. The formation energy from the elements is 7.5 kJ/mol of atoms. The magnetization is 0.0 Bohr magnetons per cell.

***

Entry 8:
KHg2Os | PBE | relaxed

a b c (Å): 2.7905 6.1451 5.3901
angles (deg): 90.00 90.00 90.00
Last column: nearest neighbours and their distance in Å.
Sites, in units of the cell vectors:
Hg: 0.0000 0.0000 0.0000  2 Hg 2.79, 4 K 3.03
Hg: 0.5000 0.5000 0.0000  2 Hg 2.79, 4 Os 3.03
K: 0.5000 0.0000 0.5000  2 K 2.79, 4 Hg 3.03
Os: 0.0000 0.5000 0.5000  2 Os 2.79, 4 Hg 3.03

Calculated values
As for the space-group type: Pmmm, No. 47. The value obtained for the energy relative to the lowest polymorph listed for this composition is 0.348 eV/atom. The formation energy from the elements is 89.6 kJ/mol of atoms. The magnetization is 0.0 Bohr magnetons per cell.

***

Entry 9:
Th2InPd9 | PBE | relaxed

a b c (Å): 5.4089 5.4089 9.5687
angles (deg): 73.58 73.58 60.00
Last column: nearest neighbours and their distance in Å.
Sites, in units of the cell vectors:
Th: 0.8669 0.8669 0.3992  9 Pd 3.00-3.25
Th: 0.1331 0.1331 0.6008  9 Pd 3.00-3.25
In: 0.0000 0.0000 0.0000  6 Pd 3.12
Pd: 0.6666 0.6666 0.0002  9 Pd 2.79-3.12, 3 In 3.12
Pd: 0.3334 0.3334 0.9998  9 Pd 2.79-3.12, 3 In 3.12
Pd: 0.5000 0.5000 0.5000  6 Pd 2.71
Pd: 0.4124 0.4124 0.2568  7 Pd 2.67-2.81
Pd: 0.9184 0.4124 0.2568  7 Pd 2.67-2.81
Pd: 0.4124 0.9184 0.2568  7 Pd 2.67-2.81
Pd: 0.5876 0.5876 0.7432  7 Pd 2.67-2.81
Pd: 0.5876 0.0816 0.7432  7 Pd 2.67-2.81
Pd: 0.0816 0.5876 0.7432  7 Pd 2.67-2.81

Calculated values
As for the space-group type: R-3m, No. 166. The value obtained for the energy relative to the lowest polymorph listed for this composition is 0.269 eV/atom. The formation energy from the elements is -52.2 kJ/mol of atoms. The magnetization is 0.0 Bohr magnetons per cell.

***

Entry 10:
DyMg2Zn4 | PBE | relaxed

a b c (Å): 4.4163 3.4595 9.3537
angles (deg): 100.66 103.65 90.00
Last column: nearest neighbours and their distance in Å.
Sites, in units of the cell vectors:
Dy: 0.5000 0.0000 0.0000  12 Zn 3.08-3.11
Mg: 0.8020 0.8020 0.6039  7 Zn 2.81-2.96
Mg: 0.1980 0.1980 0.3961  7 Zn 2.81-2.96
Zn: 0.6446 0.6446 0.2893  2 Zn 2.57, 1 Mg 2.81
Zn: 0.3554 0.3554 0.7107  2 Zn 2.57, 1 Mg 2.81
Zn: 0.0715 0.5715 0.1429  3 Zn 2.55-2.57, 2 Mg 2.85
Zn: 0.9285 0.4285 0.8571  3 Zn 2.55-2.57, 2 Mg 2.85

Calculated values
As for the space-group type: Immm, No. 71. The formation energy from the elements is -20.4 kJ/mol of atoms. The magnetization is 0.0 Bohr magnetons per cell.

***

Entry 11:
V6ReGe | PBE | relaxed

a b c (Å): 4.2662 5.2070 5.2070
angles (deg): 109.62 90.00 90.00
Last column: nearest neighbours and their distance in Å.
Sites, in units of the cell vectors:
V: 0.0000 0.1101 0.3630  5 V 2.56-2.84, 2 Re 2.60-2.61, 2 Ge 2.66
V: 0.0000 0.6370 0.8899  5 V 2.56-2.84, 2 Re 2.60-2.61, 2 Ge 2.66
V: 0.0000 0.6187 0.3813  8 V 2.59-2.62
V: 0.5000 0.3773 0.1253  2 Ge 2.58-2.62, 4 V 2.59-2.62, 2 Re 2.61
V: 0.5000 0.8747 0.6227  2 Ge 2.58-2.62, 4 V 2.59-2.62, 2 Re 2.61
V: 0.5000 0.8745 0.1255  8 V 2.56-2.62
Re: 0.0000 0.1290 0.8710  8 V 2.60-2.61
Ge: 0.5000 0.3783 0.6217  8 V 2.58-2.66

Calculated values
As for the space-group type: Amm2, No. 38. The formation energy from the elements is -22.2 kJ/mol of atoms. The magnetization is 0.0 Bohr magnetons per cell.

***

Entry 12:
NiP | PBE | relaxed

a b c (Å): 6.5912 6.5912 6.5912
angles (deg): 31.74 31.74 31.74
Last column: nearest neighbours and their distance in Å.
Sites, in units of the cell vectors:
Ni: 0.8746 0.8746 0.8746  4 P 2.19-2.23
Ni: 0.1254 0.1254 0.1254  4 P 2.19-2.23
P: 0.7557 0.7557 0.7557  4 Ni 2.19-2.23
P: 0.2443 0.2443 0.2443  4 Ni 2.19-2.23

Calculated values
As for the space-group type: R-3m, No. 166. The formation energy from the elements is -16.2 kJ/mol of atoms. The magnetization is 0.0 Bohr magnetons per cell.

***

Question: What is the magnetization in the seventh record?
Answer: 0.0 Bohr magnetons per cell